No. 1
LiTaCr2 | the Alexandria database | PBE | relaxed; VASP energy = -7.73 eV/atom; relative energy among the computed polymorphs = 204 meV/atom; E_form = 51.0 kJ/mol of atoms
1.0
2.5288 0.0000 0.0000
0.0000 4.0835 0.0000
0.0000 0.0000 5.3647
Li Ta Cr
1 1 2
direct
0.0000 0.0000 0.0000
0.5000 0.5000 0.2663
0.0000 0.0000 0.5310
0.5000 0.5000 0.7478

No. 2
Li2TaCr | the Alexandria database | PBE | relaxed; VASP energy = -5.73 eV/atom; relative energy among the computed polymorphs = 272 meV/atom; E_form = 57.5 kJ/mol of atoms
1.0
4.9713 0.0000 0.0000
0.0000 9.7129 0.0000
0.0000 0.0000 2.5596
Li Ta Cr
4 2 2
direct
0.2500 0.2500 0.0000
0.2500 0.7500 0.0000
0.7500 0.2500 0.0000
0.7500 0.7500 0.0000
0.0000 0.0000 0.5000
0.5000 0.5000 0.5000
0.0000 0.5000 0.5000
0.5000 0.0000 0.5000

No. 3
LiTaCr3 | the Alexandria database | PBE | relaxed; VASP energy = -7.31 eV/atom; relative energy among the computed polymorphs = 0 meV/atom; E_form = 117.0 kJ/mol of atoms
1.0
4.0442 0.0000 0.0000
0.0000 4.0442 0.0000
0.0000 0.0000 4.0442
Li Ta Cr
1 1 3
direct
0.0000 0.0000 0.0000
0.5000 0.5000 0.5000
0.0000 0.0000 0.5000
0.0000 0.5000 0.0000
0.5000 0.0000 0.0000

No. 4
LiTaCr2 | the Alexandria database | PBE | relaxed; VASP energy = -7.86 eV/atom; relative energy among the computed polymorphs = 72 meV/atom; E_form = 38.3 kJ/mol of atoms
1.0
2.6192 0.0000 0.0000
0.0000 4.0228 0.0000
-1.1177 0.0000 5.2029
Li Ta Cr
1 1 2
direct
0.0000 0.0000 0.0000
0.6971 0.5000 0.2769
0.1984 0.5000 0.7454
0.3931 0.0000 0.5502

No. 5
LiTaCr2 | the Alexandria database | PBE | relaxed; VASP energy = -7.93 eV/atom; relative energy among the computed polymorphs = 0 meV/atom; E_form = 31.3 kJ/mol of atoms
1.0
2.9725 0.0000 0.0000
0.0000 4.3932 0.0000
0.0000 0.0000 8.9287
Li Ta Cr
2 2 4
direct
0.0000 0.0000 0.0000
0.5000 0.5000 0.0000
0.0000 0.5000 0.7071
0.5000 0.0000 0.7071
0.0000 0.0000 0.4538
0.0000 0.5000 0.2578
0.5000 0.0000 0.2578
0.5000 0.5000 0.4538

No. 6
LiTa3Cr | the Alexandria database | PBE | relaxed; VASP energy = -8.38 eV/atom; relative energy among the computed polymorphs = 0 meV/atom; E_form = 100.7 kJ/mol of atoms
1.0
4.6474 0.0000 0.0000
0.0000 4.6474 0.0000
0.0000 0.0000 4.6474
Li Ta Cr
1 3 1
direct
0.0000 0.0000 0.0000
0.0000 0.5000 0.5000
0.5000 0.0000 0.5000
0.5000 0.5000 0.0000
0.5000 0.5000 0.5000

No. 7
Li2TaCr | the Alexandria database | PBE | relaxed; VASP energy = -5.78 eV/atom; relative energy among the computed polymorphs = 222 meV/atom; E_form = 52.7 kJ/mol of atoms
1.0
2.9389 0.0000 0.0000
0.0000 4.2635 0.0000
0.0000 0.0000 9.9280
Li Ta Cr
4 2 2
direct
0.0000 0.0000 0.2363
0.0000 0.0000 0.7637
0.5000 0.5000 0.2363
0.5000 0.5000 0.7637
0.0000 0.5000 0.5000
0.5000 0.0000 0.5000
0.0000 0.5000 0.0000
0.5000 0.0000 0.0000

No. 8
LiTaCr2 | the Alexandria database | PBE | relaxed; VASP energy = -7.63 eV/atom; relative energy among the computed polymorphs = 302 meV/atom; E_form = 60.5 kJ/mol of atoms
1.0
2.6729 0.0000 0.0000
-1.3364 2.3148 0.0000
0.0000 0.0000 28.6020
Li Ta Cr
3 3 6
direct
0.0000 0.0000 0.0000
0.3333 0.6667 0.6667
0.6667 0.3333 0.3333
0.0000 0.0000 0.5000
0.3333 0.6667 0.1667
0.6667 0.3333 0.8333
0.0000 0.0000 0.2507
0.0000 0.0000 0.7493
0.3333 0.6667 0.4159
0.3333 0.6667 0.9174
0.6667 0.3333 0.0826
0.6667 0.3333 0.5841

No. 9
LiTaCr2 | the Alexandria database | PBE | relaxed; VASP energy = -7.79 eV/atom; relative energy among the computed polymorphs = 139 meV/atom; E_form = 44.7 kJ/mol of atoms
1.0
2.5891 0.0000 0.0000
0.0000 4.4148 0.0000
-0.6785 0.0000 4.8454
Li Ta Cr
1 1 2
direct
0.0000 0.0000 0.0000
0.5000 0.0000 0.5000
0.2063 0.5000 0.7343
0.7937 0.5000 0.2657

No. 10
Li2TaCr | the Alexandria database | PBE | relaxed; VASP energy = -5.82 eV/atom; relative energy among the computed polymorphs = 184 meV/atom; E_form = 49.0 kJ/mol of atoms
1.0
3.5455 0.0000 0.0000
0.0000 3.5455 0.0000
0.0000 0.0000 9.7426
Li Ta Cr
4 2 2
direct
0.0000 0.5000 0.2500
0.0000 0.5000 0.7500
0.5000 0.0000 0.2500
0.5000 0.0000 0.7500
0.0000 0.0000 0.0000
0.5000 0.5000 0.5000
0.0000 0.0000 0.5000
0.5000 0.5000 0.0000

No. 11
Li2TaCr | the Alexandria database | PBE | relaxed; VASP energy = -5.91 eV/atom; relative energy among the computed polymorphs = 89 meV/atom; E_form = 39.8 kJ/mol of atoms
1.0
10.8465 0.0000 0.0000
0.0000 2.9099 0.0000
-1.5855 0.0000 3.8419
Li Ta Cr
4 2 2
direct
0.2365 0.0000 0.2366
0.2635 0.5000 0.7634
0.7365 0.5000 0.2366
0.7635 0.0000 0.7634
0.0000 0.0000 0.5000
0.5000 0.5000 0.5000
0.0000 0.5000 0.0000
0.5000 0.0000 0.0000

No. 12
Li2TaCr | the Alexandria database | PBE | relaxed; VASP energy = -5.84 eV/atom; relative energy among the computed polymorphs = 164 meV/atom; E_form = 47.1 kJ/mol of atoms
1.0
2.5827 0.0000 0.0000
0.0000 4.4053 0.0000
-0.8361 0.0000 5.6249
Li Ta Cr
2 1 1
direct
0.0000 0.0000 0.0000
0.3023 0.5000 0.7856
0.7472 0.5000 0.3140
0.3449 0.0000 0.4842

Question: What is the formula in the ninth record?
Answer: LiTaCr2